# 1
A relaxed Mn5Rh4 crystal, computed with PBE-GGA.

a b c (Å): 7.5374 7.5374 5.2670
angles (deg): 90.00 90.00 120.00
Element x y z (fractional)
Mn: 0.0000 0.3000 0.2500
Mn: 0.0000 0.7000 0.7500
Mn: 0.3000 0.0000 0.2500
Mn: 0.3000 0.3000 0.7500
Mn: 0.3333 0.6667 0.0000
Mn: 0.3333 0.6667 0.5000
Mn: 0.6667 0.3333 0.0000
Mn: 0.6667 0.3333 0.5000
Mn: 0.7000 0.0000 0.7500
Mn: 0.7000 0.7000 0.2500
Rh: 0.0000 0.0000 0.0000
Rh: 0.0000 0.0000 0.5000
Rh: 0.0000 0.3663 0.7500
Rh: 0.0000 0.6337 0.2500
Rh: 0.3663 0.0000 0.7500
Rh: 0.3663 0.3663 0.2500
Rh: 0.6337 0.0000 0.2500
Rh: 0.6337 0.6337 0.7500

Results
E: -8.296 eV/atom
Crystal system: hexagonal
Density: 8.8 Mg/m³
ΔE_f: 0.0656 eV/atom
Space group: P6_3/mcm (193)
ΔE to the lowest computed polymorph: 150 meV/atom

=====

# 2
A relaxed Mn3Rh crystal, computed with PBE-GGA.

a b c (Å): 2.5787 2.5787 8.1314
angles (deg): 90.00 90.00 120.00
Element x y z (fractional)
Mn: 0.0000 0.0000 0.0000
Mn: 0.6667 0.3333 0.2386
Mn: 0.6667 0.3333 0.7614
Rh: 0.0000 0.0000 0.5000

Results
E: -8.663 eV/atom
Crystal system: hexagonal
Density: 9.5 Mg/m³
ΔE_f: 0.0521 eV/atom
Space group: P-6m2 (187)

=====

# 3
A relaxed Mn3Rh crystal, computed with PBE-GGA.

a b c (Å): 4.8022 4.8022 4.8022
angles (deg): 116.84 116.84 116.84
Element x y z (fractional)
Mn: 0.0000 0.5000 0.5000
Mn: 0.5000 0.0000 0.5000
Mn: 0.5000 0.5000 0.0000
Rh: 0.0000 0.0000 0.0000

Results
E: -8.492 eV/atom
Crystal system: trigonal
Density: 8.9 Mg/m³
ΔE_f: 0.2234 eV/atom
Space group: R-3m (166)

=====

# 4
A relaxed MnRh2 crystal, computed with PBE-GGA.

a b c (Å): 4.0266 4.0266 4.0266
angles (deg): 60.00 60.00 60.00
Element x y z (fractional)
Mn: 0.0000 0.0000 0.0000
Rh: 0.2500 0.2500 0.2500
Rh: 0.7500 0.7500 0.7500

Results
E: -7.713 eV/atom
Crystal system: cubic
Density: 9.4 Mg/m³
ΔE_f: 0.2447 eV/atom
Space group: Fm-3m (225)
ΔE to the lowest computed polymorph: 354 meV/atom

=====

# 5
A relaxed Mn2Rh crystal, computed with PBE-GGA.

a b c (Å): 4.6827 4.6827 4.6827
angles (deg): 60.00 60.00 60.00
Element x y z (fractional)
Mn: 0.0000 0.0000 0.0000
Mn: 0.0000 0.0000 0.5000
Mn: 0.0000 0.5000 0.0000
Mn: 0.5000 0.0000 0.0000
Rh: 0.3750 0.3750 0.3750
Rh: 0.6250 0.6250 0.6250

Results
E: -8.520 eV/atom
Crystal system: cubic
Density: 9.7 Mg/m³
ΔE_f: 0.0439 eV/atom
Space group: Fd-3m (227)

=====

# 6
A relaxed MnRh crystal, computed with PBE-GGA.

a b c (Å): 5.9227 5.5931 4.9271
angles (deg): 68.19 61.25 50.56
Element x y z (fractional)
Mn: 0.0293 0.7207 0.7207
Mn: 0.2793 0.9707 0.9707
Mn: 0.7207 0.0293 0.0293
Mn: 0.9707 0.2793 0.2793
Rh: 0.1986 0.5514 0.1986
Rh: 0.4486 0.8014 0.4486
Rh: 0.5514 0.1986 0.5514
Rh: 0.8014 0.4486 0.8014

Results
E: -7.855 eV/atom
Crystal system: orthorhombic
Density: 9.5 Mg/m³
ΔE_f: 0.4058 eV/atom
Space group: Fddd (70)

=====

# 7
A relaxed Mn2Rh3 crystal, computed with PBE-GGA.

a b c (Å): 4.1136 4.1136 5.1059
angles (deg): 90.00 90.00 120.00
Element x y z (fractional)
Mn: 0.3333 0.6667 0.3270
Mn: 0.6667 0.3333 0.6730
Rh: 0.0000 0.0000 0.5000
Rh: 0.3333 0.6667 0.8417
Rh: 0.6667 0.3333 0.1583

Results
E: -7.946 eV/atom
Crystal system: trigonal
Density: 9.3 Mg/m³
ΔE_f: 0.1323 eV/atom
Space group: P-3m1 (164)
ΔE to the lowest computed polymorph: 167 meV/atom

=====

# 8
A relaxed MnRh2 crystal, computed with PBE-GGA.

a b c (Å): 6.0983 6.0983 3.8596
angles (deg): 90.00 90.00 144.44
Element x y z (fractional)
Mn: 0.0879 0.9121 0.7500
Mn: 0.9121 0.0879 0.2500
Rh: 0.2519 0.7481 0.2500
Rh: 0.4171 0.5829 0.7500
Rh: 0.5829 0.4171 0.2500
Rh: 0.7481 0.2519 0.7500

Results
E: -8.047 eV/atom
Crystal system: orthorhombic
Density: 10.4 Mg/m³
ΔE_f: -0.0900 eV/atom
Space group: Cmcm (63)
ΔE to the lowest computed polymorph: 20 meV/atom

=====

# 9
A relaxed Mn2Rh crystal, computed with PBE-GGA.

a b c (Å): 4.2841 4.2841 5.2419
angles (deg): 90.00 90.00 120.00
Element x y z (fractional)
Mn: 0.0000 0.0000 0.0000
Mn: 0.0000 0.0000 0.5000
Mn: 0.3333 0.6667 0.2500
Mn: 0.6667 0.3333 0.7500
Rh: 0.3333 0.6667 0.7500
Rh: 0.6667 0.3333 0.2500

Results
E: -8.574 eV/atom
Crystal system: hexagonal
Density: 8.5 Mg/m³
ΔE_f: -0.0107 eV/atom
Space group: P6_3/mmc (194)

=====

# 10
A relaxed MnRh crystal, computed with PBE-GGA.

a b c (Å): 6.6837 6.6837 6.6837
angles (deg): 90.00 90.00 90.00
Element x y z (fractional)
Mn: 0.0000 0.2500 0.5000
Mn: 0.0000 0.7500 0.5000
Mn: 0.2500 0.5000 0.0000
Mn: 0.5000 0.0000 0.2500
Mn: 0.5000 0.0000 0.7500
Mn: 0.7500 0.5000 0.0000
Rh: 0.0000 0.5000 0.2500
Rh: 0.0000 0.5000 0.7500
Rh: 0.2500 0.0000 0.5000
Rh: 0.5000 0.2500 0.0000
Rh: 0.5000 0.7500 0.0000
Rh: 0.7500 0.0000 0.5000

Results
E: -7.054 eV/atom
Crystal system: cubic
Density: 5.3 Mg/m³
ΔE_f: 1.2067 eV/atom
Space group: Pm-3n (223)

=====

# 11
A relaxed MnRh2 crystal, computed with PBE-GGA.

a b c (Å): 4.2743 4.2743 5.2925
angles (deg): 90.00 90.00 120.00
Element x y z (fractional)
Mn: 0.3333 0.6667 0.2500
Mn: 0.6667 0.3333 0.7500
Rh: 0.0000 0.0000 0.0000
Rh: 0.0000 0.0000 0.5000
Rh: 0.3333 0.6667 0.7500
Rh: 0.6667 0.3333 0.2500

Results
E: -7.998 eV/atom
Crystal system: hexagonal
Density: 10.3 Mg/m³
ΔE_f: -0.0408 eV/atom
Space group: P6_3/mmc (194)
ΔE to the lowest computed polymorph: 69 meV/atom

=====

# 12
A relaxed MnRh crystal, computed with PBE-GGA.

a b c (Å): 4.7834 4.7834 4.7834
angles (deg): 134.35 134.35 66.54
Element x y z (fractional)
Mn: 0.3750 0.6250 0.7500
Mn: 0.6250 0.3750 0.2500
Rh: 0.1250 0.8750 0.2500
Rh: 0.8750 0.1250 0.7500

Results
E: -8.287 eV/atom
Crystal system: tetragonal
Density: 9.5 Mg/m³
ΔE_f: -0.0266 eV/atom
Space group: I4_1/amd (141)

=====

# 13
A relaxed MnRh2 crystal, computed with PBE-GGA.

a b c (Å): 5.1002 5.1002 6.3913
angles (deg): 102.50 102.50 31.41
Element x y z (fractional)
Mn: 0.0000 0.0000 0.0000
Mn: 0.6836 0.6836 0.3485
Rh: 0.0658 0.0658 0.6195
Rh: 0.3426 0.3426 0.6810
Rh: 0.4053 0.4053 0.2841
Rh: 0.7229 0.7229 0.9623

Results
E: -7.990 eV/atom
Crystal system: monoclinic
Density: 10.3 Mg/m³
ΔE_f: -0.0324 eV/atom
Space group: Cm (8)
ΔE to the lowest computed polymorph: 77 meV/atom

=====

# 14
A relaxed Mn3Rh crystal, computed with PBE-GGA.

a b c (Å): 4.4795 4.4795 4.4386
angles (deg): 100.20 100.20 33.70
Element x y z (fractional)
Mn: 0.0000 0.0000 0.0000
Mn: 0.2531 0.2531 0.7617
Mn: 0.7469 0.7469 0.2383
Rh: 0.5000 0.5000 0.5000

Results
E: -8.674 eV/atom
Crystal system: monoclinic
Density: 9.2 Mg/m³
ΔE_f: 0.0415 eV/atom
Space group: C2/m (12)

=====

# 15
A relaxed Mn3Rh crystal, computed with PBE-GGA.

a b c (Å): 4.8540 4.8540 4.8540
angles (deg): 148.92 64.18 125.39
Element x y z (fractional)
Mn: 0.0000 0.0000 0.0000
Mn: 0.4120 0.6659 0.7460
Mn: 0.9199 0.6659 0.2540
Rh: 0.5051 0.0051 0.5000

Results
E: -8.705 eV/atom
Crystal system: orthorhombic
Density: 9.3 Mg/m³
ΔE_f: 0.0104 eV/atom
Space group: Imm2 (44)

=====

# 16
A relaxed MnRh crystal, computed with PBE-GGA.

a b c (Å): 3.5588 3.5588 3.5588
angles (deg): 60.00 60.00 60.00
Element x y z (fractional)
Mn: 0.0000 0.0000 0.0000
Rh: 0.5000 0.5000 0.5000

Results
E: -7.753 eV/atom
Crystal system: cubic
Density: 8.2 Mg/m³
ΔE_f: 0.5075 eV/atom
Space group: Fm-3m (225)

=====

# 17
A relaxed MnRh crystal, computed with PBE-GGA.

a b c (Å): 2.6448 4.1714 4.5429
angles (deg): 90.00 90.00 90.00
Element x y z (fractional)
Mn: 0.2500 0.2500 0.0800
Mn: 0.7500 0.7500 0.9200
Rh: 0.2500 0.7500 0.4028
Rh: 0.7500 0.2500 0.5972

Results
E: -8.238 eV/atom
Crystal system: orthorhombic
Density: 10.5 Mg/m³
ΔE_f: 0.0224 eV/atom
Space group: Pmmn (59)

=====

# 18
A relaxed Mn3Rh crystal, computed with PBE-GGA.

a b c (Å): 3.0918 3.0918 5.6575
angles (deg): 90.00 90.00 90.00
Element x y z (fractional)
Mn: 0.0000 0.0000 0.0000
Mn: 0.5000 0.5000 0.2394
Mn: 0.5000 0.5000 0.7606
Rh: 0.0000 0.0000 0.5000

Results
E: -8.749 eV/atom
Crystal system: tetragonal
Density: 8.2 Mg/m³
ΔE_f: -0.0341 eV/atom
Space group: P4/mmm (123)

=====

# 19
A relaxed Mn3Rh crystal, computed with PBE-GGA.

a b c (Å): 8.3794 8.3794 8.3794
angles (deg): 17.63 17.63 17.63
Element x y z (fractional)
Mn: 0.0000 0.0000 0.0000
Mn: 0.2535 0.2535 0.2535
Mn: 0.7465 0.7465 0.7465
Rh: 0.5000 0.5000 0.5000

Results
E: -8.599 eV/atom
Crystal system: trigonal
Density: 9.4 Mg/m³
ΔE_f: 0.1158 eV/atom
Space group: R-3m (166)

=====

# 20
A relaxed Mn2Rh3 crystal, computed with PBE-GGA.

a b c (Å): 10.5855 10.5855 10.5855
angles (deg): 15.07 15.07 15.07
Element x y z (fractional)
Mn: 0.1007 0.1007 0.1007
Mn: 0.8993 0.8993 0.8993
Rh: 0.2968 0.2968 0.2968
Rh: 0.5000 0.5000 0.5000
Rh: 0.7032 0.7032 0.7032

Results
E: -8.074 eV/atom
Crystal system: trigonal
Density: 10.0 Mg/m³
ΔE_f: 0.0051 eV/atom
Space group: R-3m (166)
ΔE to the lowest computed polymorph: 39 meV/atom